(1)
Entry from Alexandria via LeMat-Bulk: crystalline Ho6InFe2 at its relaxed geometry (GGA-PBE).

D(E_F) = 35.36 states/eV/cell
ΔH_f (0 K) = -170 meV per atom
total magnetization = 1.757 μB per formula unit

a = 9.4273 Å, b = 9.6062 Å, c = 9.9798 Å
α = 90.00°, β = 90.00°, γ = 90.00°
Last column: nearest neighbours and their distance in Å.
Space group Immm (No. 71)
Unique sites:
Ho 0.0000 0.2147 0.2296 [8 per cell]  1 Fe 2.82, 1 In 3.08
Ho 0.2026 0.5000 0.1883 [8 per cell]  3 Fe 2.78-2.90
Ho 0.2101 0.3111 0.5000 [8 per cell]  2 Fe 2.90
In 0.0000 0.0000 0.0000 [2 per cell]  8 Ho 3.08-3.28
In 0.0000 0.0000 0.5000 [2 per cell]  12 Ho 3.37-3.59
Fe 0.0000 0.3858 0.0000 [4 per cell]  1 Fe 2.19
Fe 0.0000 0.5000 0.3912 [4 per cell]  1 Fe 2.17


(2)
Entry from Alexandria via LeMat-Bulk: crystalline LiBeIn at its relaxed geometry (GGA-PBE).

D(E_F) = 0.66 states/eV/cell
ΔH_f (0 K) = 140 meV per atom
ΔE to the lowest computed polymorph = 108 meV/atom
total magnetization = 0.000 μB per formula unit

a = 4.3601 Å, b = 4.3601 Å, c = 3.0819 Å
α = 90.00°, β = 90.00°, γ = 120.00°
Last column: nearest neighbours and their distance in Å.
Space group P-6m2 (No. 187)
Unique sites:
Li 0.0000 0.0000 0.0000 [1 per cell]  6 In 2.95, 6 Be 2.95, 2 Li 3.08
Be 0.6667 0.3333 0.5000 [1 per cell]  3 In 2.52
In 0.3333 0.6667 0.5000 [1 per cell]  3 Be 2.52


(3)
Entry from Alexandria via LeMat-Bulk: crystalline CuBRh3 at its relaxed geometry (GGA-PBE).

D(E_F) = 6.48 states/eV/cell
ΔH_f (0 K) = 1976 meV per atom
ΔE to the lowest computed polymorph = 2051 meV/atom
total magnetization = 0.001 μB per formula unit

a = 4.4416 Å, b = 4.4416 Å, c = 4.4416 Å
α = 90.00°, β = 90.00°, γ = 90.00°
Last column: nearest neighbours and their distance in Å.
Space group Pm-3m (No. 221)
Unique sites:
Cu 0.0000 0.0000 0.0000 [1 per cell]  6 Rh 2.22
B 0.5000 0.5000 0.5000 [1 per cell]  12 Rh 3.14
Rh 0.0000 0.0000 0.5000 [3 per cell]  2 Cu 2.22


(4)
Entry from Alexandria via LeMat-Bulk: crystalline Cu2W at its relaxed geometry (GGA-PBE).

D(E_F) = 3.05 states/eV/cell
ΔH_f (0 K) = 839 meV per atom
total magnetization = 0.000 μB per formula unit

a = 4.6047 Å, b = 4.6047 Å, c = 2.5184 Å
α = 90.00°, β = 90.00°, γ = 90.00°
Last column: nearest neighbours and their distance in Å.
Space group P4/mmm (No. 123)
Unique sites:
Cu 0.0000 0.5000 0.0000 [2 per cell]  2 Cu 2.52, 4 W 2.62
W 0.0000 0.0000 0.5000 [1 per cell]  2 W 2.52, 8 Cu 2.62


(5)
Entry from Alexandria via LeMat-Bulk: crystalline Li2TlGe at its relaxed geometry (GGA-PBE).

D(E_F) = 1.16 states/eV/cell
ΔH_f (0 K) = -215 meV per atom
total magnetization = 0.000 μB per formula unit

a = 3.2748 Å, b = 3.2748 Å, c = 6.8789 Å
α = 90.00°, β = 90.00°, γ = 90.00°
Last column: nearest neighbours and their distance in Å.
Space group P4/mmm (No. 123)
Unique sites:
Li 0.0000 0.0000 0.2207 [2 per cell]  4 Ge 2.77, 4 Tl 3.01, 1 Li 3.04
Tl 0.5000 0.5000 0.5000 [1 per cell]  8 Li 3.01, 4 Tl 3.27
Ge 0.5000 0.5000 0.0000 [1 per cell]  8 Li 2.77


(6)
Entry from Alexandria via LeMat-Bulk: crystalline TiSiGe2 at its relaxed geometry (GGA-PBE).

D(E_F) = 10.69 states/eV/cell
energy relative to the elements, uncorrected = 0.11 eV/atom
total magnetization = 0.000 μB per formula unit

a = 7.1672 Å, b = 7.1672 Å, c = 5.3940 Å
α = 90.00°, β = 90.00°, γ = 90.00°
Last column: nearest neighbours and their distance in Å.
Space group I-42d (No. 122)
Unique sites:
Ti 0.0000 0.0000 0.0000 [4 per cell]  2 Si 2.70, 4 Ge 2.71
Si 0.0000 0.0000 0.5000 [4 per cell]  4 Ge 2.54, 2 Ti 2.70
Ge 0.2333 0.2500 0.6250 [8 per cell]  2 Si 2.54, 2 Ti 2.71, 2 Ge 2.71